Computed, not measured: a relaxed structure of KMo2W at the PBE-GGA level of DFT.

Calculated values
The calculation puts the energy relative to the elements at 95.4 kJ/mol of atoms. As for the distance to the lowest polymorph of the same formula: 0.2406 eV/atom.

abc: 2.8063 2.8063 33.6193
angles: 90.00 90.00 120.00
Space group R-3m (No. 166, hexagonal axes)
Unique sites:
K 0.0000 0.0000 0.0000 (multiplicity 3)
Mo 0.0000 0.0000 0.2390 (multiplicity 6)
W 0.0000 0.0000 0.5000 (multiplicity 3)

***

Computed, not measured: a relaxed structure of Nd4Er2Tl at the PBE-GGA level of DFT.

Calculated values
The calculation puts the energy relative to the elements at 39.8 kJ/mol of atoms.

abc: 6.225 12.556 6.120
angles: 90.00 90.00 90.00
Space group Cmmm (No. 65)
Unique sites:
Nd 0.000 0.134 0.000 (multiplicity 4)
Nd 0.000 0.333 0.500 (multiplicity 4)
Er 0.000 0.382 0.000 (multiplicity 4)
Tl 0.000 0.000 0.500 (multiplicity 2)

***

Computed, not measured: a relaxed structure of CePm3Pr2P6 at the PBE-GGA level of DFT.

Calculated values
The calculation puts the energy relative to the elements at -148.9 kJ/mol of atoms.

abc: 18.057 4.150 8.300
angles: 90.00 103.24 90.00
Space group C2/m (No. 12)
Unique sites:
Ce 0.000 0.000 0.000 (multiplicity 2)
Pm 0.000 0.000 0.500 (multiplicity 2)
Pm 0.168 0.500 0.833 (multiplicity 4)
Pr 0.167 0.500 0.334 (multiplicity 4)
P 0.001 0.500 0.756 (multiplicity 4)
P 0.164 0.000 0.079 (multiplicity 4)
P 0.166 0.000 0.586 (multiplicity 4)

***

Computed, not measured: a relaxed structure of PmUP2Rh5 at the PBE-GGA level of DFT.

Calculated values
The calculation puts the energy relative to the elements at -53.0 kJ/mol of atoms.

abc: 4.008 4.008 10.755
angles: 90.00 90.00 90.00
Space group P4/mmm (No. 123)
Unique sites:
Pm 0.000 0.000 0.000 (multiplicity 1)
U 0.500 0.500 0.500 (multiplicity 1)
P 0.500 0.500 0.209 (multiplicity 2)
Rh 0.000 0.500 0.324 (multiplicity 4)
Rh 0.500 0.500 0.000 (multiplicity 1)

***

Computed, not measured: a relaxed structure of Ca2Si7Pt12 at the PBE-GGA level of DFT.

Calculated values
For the formation energy without anion corrections, the calculation gives -850 meV/atom.

abc: 9.9645 9.9645 3.9352
angles: 90.00 90.00 120.00
Space group P-3 (No. 147)
Unique sites:
Ca 0.3333 0.6667 0.2475 (multiplicity 2)
Si 0.0000 0.0000 0.5000 (multiplicity 1)
Si 0.1176 0.7114 0.7478 (multiplicity 6)
Pt 0.0689 0.4494 0.7484 (multiplicity 6)
Pt 0.1122 0.2597 0.2433 (multiplicity 6)

***

Computed, not measured: a relaxed structure of SrPrGd at the PBE-GGA level of DFT.

Calculated values
The calculation puts the energy relative to the elements at 8.3 kJ/mol of atoms. As for the distance to the lowest polymorph of the same formula: 0.0000 eV/atom.

abc: 3.793 3.793 16.393
angles: 90.00 90.00 90.00
Space group I4mm (No. 107)
Unique sites:
Sr 0.000 0.000 0.000 (multiplicity 2)
Pr 0.000 0.000 0.680 (multiplicity 2)
Gd 0.000 0.000 0.321 (multiplicity 2)

***

Computed, not measured: a relaxed structure of Ce4Y3S8 at the PBE-GGA level of DFT.

Calculated values
For the formation energy without anion corrections, the calculation gives -2016 meV/atom.

abc: 11.234 11.242 7.938
angles: 90.00 134.88 90.00
Space group C2/m (No. 12)
Unique sites:
Ce 0.000 0.000 0.000 (multiplicity 2)
Ce 0.000 0.500 0.500 (multiplicity 2)
Ce 0.250 0.250 0.000 (multiplicity 4)
Y 0.000 0.500 0.000 (multiplicity 2)
Y 0.250 0.250 0.500 (multiplicity 4)
S 0.000 0.247 0.500 (multiplicity 4)
S 0.000 0.253 0.000 (multiplicity 4)
S 0.249 0.500 0.005 (multiplicity 4)
S 0.250 0.000 0.506 (multiplicity 4)

***

Computed, not measured: a relaxed structure of Nd5Al2Tl at the PBE-GGA level of DFT.

Calculated values
The calculation puts the energy relative to the elements at -27.5 kJ/mol of atoms.

abc: 8.034 8.034 15.060
angles: 90.00 90.00 90.00
Space group I4/mcm (No. 140)
Unique sites:
Nd 0.000 0.000 0.000 (multiplicity 4)
Nd 0.171 0.329 0.147 (multiplicity 16)
Al 0.118 0.382 0.500 (multiplicity 8)
Tl 0.000 0.000 0.250 (multiplicity 4)

***

Computed, not measured: a relaxed structure of MgTi3Si at the PBE-GGA level of DFT.

Calculated values
For the formation energy without anion corrections, the calculation gives 211 meV/atom. As for the distance to the lowest polymorph of the same formula: 0.0000 eV/atom.

abc: 4.689 4.689 4.689
angles: 90.00 90.00 90.00
Space group Pm-3m (No. 221)
Unique sites:
Mg 0.000 0.000 0.000 (multiplicity 1)
Ti 0.000 0.500 0.500 (multiplicity 3)
Si 0.500 0.500 0.500 (multiplicity 1)

***

Computed, not measured: a relaxed structure of RbScGe at the PBE-GGA level of DFT.

Calculated values
The calculation puts the energy relative to the elements at -12.4 kJ/mol of atoms. As for the distance to the lowest polymorph of the same formula: 0.2319 eV/atom.

abc: 5.196 5.318 9.856
angles: 88.34 89.32 76.84
Space group P1 (No. 1)
Unique sites:
Rb 0.000 0.000 0.000 (multiplicity 1)
Rb 0.498 0.516 0.634 (multiplicity 1)
Sc 0.032 0.042 0.368 (multiplicity 1)
Sc 0.464 0.470 0.266 (multiplicity 1)
Ge 0.547 0.958 0.301 (multiplicity 1)
Ge 0.949 0.555 0.334 (multiplicity 1)

***

Computed, not measured: a relaxed structure of CsAs2Os at the PBE-GGA level of DFT.

Calculated values
The calculation puts the energy relative to the elements at 107.0 kJ/mol of atoms.

abc: 6.959 6.959 6.959
angles: 90.00 90.00 90.00
Space group Fm-3m (No. 225)
Unique sites:
Cs 0.000 0.000 0.000 (multiplicity 4)
As 0.250 0.250 0.250 (multiplicity 8)
Os 0.000 0.000 0.500 (multiplicity 4)

***

Computed, not measured: a relaxed structure of TmTaTc2 at the PBE-GGA level of DFT.

Calculated values
The calculation puts the energy relative to the elements at -20.9 kJ/mol of atoms.

abc: 3.253 3.253 6.705
angles: 90.00 90.00 90.00
Space group P4/mmm (No. 123)
Unique sites:
Tm 0.000 0.000 0.000 (multiplicity 1)
Ta 0.000 0.000 0.500 (multiplicity 1)
Tc 0.500 0.500 0.276 (multiplicity 2)